A relaxed ZrScAsO crystal. Source: OQMD via LeMat-Bulk, functional GGA-PBE.

The structure in CIF format:
```
data_ZrScAsO
_chemical_formula_sum 'Zr2 Sc2 As2 O2'
_space_group_name_H-M_alt 'P 1'
_space_group_IT_number 1
_space_group_name_Hall 'P 1'
_cell_length_a 3.8784
_cell_length_b 3.8784
_cell_length_c 8.5795
_cell_angle_alpha 90.00
_cell_angle_beta 90.00
_cell_angle_gamma 90.00
loop_
_atom_site_label
_atom_site_type_symbol
_atom_site_fract_x
_atom_site_fract_y
_atom_site_fract_z
O1 O 0.2500 0.7500 0.0000
O2 O 0.7500 0.2500 0.0000
Sc1 Sc 0.7500 0.2500 0.5000
Sc2 Sc 0.2500 0.7500 0.5000
As1 As 0.2500 0.2500 0.7193
As2 As 0.7500 0.7500 0.2807
Zr1 Zr 0.7500 0.7500 0.8650
Zr2 Zr 0.2500 0.2500 0.1350
```

## Properties
Energy ... -7.77 eV per atom
Total magnetization ... 0.4 μB per formula unit
Energy above the most stable polymorph in this dataset ... 96.4 meV per atom